Entry 1:
Here is crystalline CsRb2CuI4 at its relaxed geometry from the Alexandria database. Energies are from PBE-GGA.

Geometry as POSCAR:
```
CsRb2CuI4
1.0
2.447 -8.555 0.000
2.447 8.555 0.000
0.000 0.000 18.290
Cs Rb Cu I
2 4 2 8
Direct
0.092 0.908 0.750 Cs
0.908 0.092 0.250 Cs
0.361 0.639 0.554 Rb
0.361 0.639 0.946 Rb
0.639 0.361 0.054 Rb
0.639 0.361 0.446 Rb
0.185 0.815 0.250 Cu
0.815 0.185 0.750 Cu
0.000 0.000 0.000 I
0.000 0.000 0.500 I
0.276 0.724 0.134 I
0.276 0.724 0.366 I
0.398 0.602 0.750 I
0.602 0.398 0.250 I
0.724 0.276 0.634 I
0.724 0.276 0.866 I
```

## Properties
Size of the total moment = 0.2 Bohr magnetons per cell
E_form (uncorrected) = -1.1363 eV/atom
ρ = 3.8 Mg/m³

=====

Entry 2:
Here is crystalline Cs2CuRuI6 at its relaxed geometry from the Alexandria database. Energies are from PBE-GGA.

Geometry as POSCAR:
```
Cs2CuRuI6
1.0
-4.001 4.001 5.723
4.001 -4.001 5.723
4.001 4.001 -5.723
Cs Cu Ru I
2 1 1 6
Direct
0.250 0.750 0.500 Cs
0.750 0.250 0.500 Cs
0.000 0.000 0.000 Cu
0.500 0.500 0.000 Ru
0.254 0.254 0.509 I
0.254 0.746 0.000 I
0.258 0.258 0.000 I
0.742 0.742 0.000 I
0.746 0.254 0.000 I
0.746 0.746 0.491 I
```

## Properties
Size of the total moment = 1.1 Bohr magnetons per cell
E_form (uncorrected) = -0.5532 eV/atom
ρ = 5.4 Mg/m³

=====

Entry 3:
Here is crystalline CsCu4S2I at its relaxed geometry from the Alexandria database. Energies are from PBE-GGA.

Geometry as POSCAR:
```
CsCu4S2I
1.0
4.030 0.000 0.000
0.000 4.030 0.000
0.000 0.000 10.967
Cs Cu S I
1 4 2 1
Direct
0.000 0.000 0.000 Cs
0.000 0.500 0.300 Cu
0.000 0.500 0.700 Cu
0.500 0.000 0.300 Cu
0.500 0.000 0.700 Cu
0.500 0.500 0.208 S
0.500 0.500 0.792 S
0.000 0.000 0.500 I
```

## Properties
Size of the total moment = 0.0 Bohr magnetons per cell
E_form (uncorrected) = -0.3675 eV/atom
ρ = 5.4 Mg/m³